This record from Alexandria describes BaSe2 at its PBEsol-relaxed geometry. The functional is meta-GGA SCAN.

Structure (POSCAR):
```
BaSe2
1.0
-2.1956 2.1956 5.0133
2.1956 -2.1956 5.0133
2.1956 2.1956 -5.0133
Ba Se
1 2
direct
0.0000 0.0000 0.0000 Ba
0.3799 0.3799 0.0000 Se
0.6201 0.6201 0.0000 Se
```

Energy, eV per atom: -28.08

---

This record from Alexandria describes Ba2Se at its PBEsol-relaxed geometry. The functional is meta-GGA SCAN.

Structure (POSCAR):
```
Ba2Se
1.0
2.1046 -7.4721 0.0000
2.1046 7.4721 0.0000
0.0000 0.0000 7.7460
Ba Se
4 2
direct
0.0138 0.9862 0.5000 Ba
0.2614 0.7386 0.6338 Ba
0.7386 0.2614 0.1338 Ba
0.9862 0.0138 0.0000 Ba
0.3903 0.6097 0.2895 Se
0.6097 0.3903 0.7895 Se
```

Energy, eV per atom: -34.46
Density of states at the Fermi level, states/eV/atom: 0.416

---

The raw formation energy results, record by record, are as follows: -1.514 -1.398 eV per atom.